Entry 1:
Density functional theory data (GGA-PBE) for an optimized crystal structure of AlMo.

## Properties
energy of formation = 0.176 eV/atom
size of the total moment = 0.00 μB per formula unit

a b c (Å): 7.745 7.745 4.646
angles (deg): 90.00 90.00 90.00
Positions (direct):
1 Al 0.944 0.670 0.500
2 Al 0.056 0.330 0.500
3 Al 0.330 0.944 0.500
4 Al 0.670 0.056 0.500
5 Al 0.914 0.241 0.000
6 Al 0.086 0.759 0.000
7 Al 0.759 0.914 0.000
8 Al 0.241 0.086 0.000
9 Mo 0.718 0.390 0.500
10 Mo 0.282 0.610 0.500
11 Mo 0.610 0.718 0.500
12 Mo 0.390 0.282 0.500
13 Mo 0.740 0.571 0.000
14 Mo 0.260 0.429 0.000
15 Mo 0.429 0.740 0.000
16 Mo 0.571 0.260 0.000

=====

Entry 2:
Density functional theory data (GGA-PBE) for an optimized crystal structure of Al3Mo.

## Properties
energy of formation = -0.270 eV/atom
size of the total moment = 0.00 μB per formula unit

a b c (Å): 4.994 5.369 13.616
angles (deg): 90.00 90.00 90.00
Positions (direct):
1 Al 0.143 0.002 0.415
2 Al 0.143 0.002 0.085
3 Al 0.554 0.998 0.750
4 Al 0.446 0.002 0.250
5 Al 0.857 0.998 0.915
6 Al 0.857 0.998 0.585
7 Al 0.925 0.250 0.250
8 Al 0.349 0.250 0.914
9 Al 0.349 0.250 0.586
10 Al 0.143 0.498 0.415
11 Al 0.143 0.498 0.085
12 Al 0.554 0.502 0.750
13 Al 0.446 0.498 0.250
14 Al 0.857 0.502 0.915
15 Al 0.857 0.502 0.585
16 Al 0.075 0.750 0.750
17 Al 0.651 0.750 0.414
18 Al 0.651 0.750 0.086
19 Mo 0.042 0.250 0.750
20 Mo 0.633 0.250 0.425
21 Mo 0.633 0.250 0.075
22 Mo 0.958 0.750 0.250
23 Mo 0.367 0.750 0.925
24 Mo 0.367 0.750 0.575